# 1
# Fe3AsC

An optimized crystal structure of Fe3AsC (PBE-GGA, Alexandria).

## Properties
Calculated volume ... 53.0 Å³/cell
Energy relative to the elements ... 0.20 eV/atom
Crystal system ... cubic
Symmetry ... No. 221

Unit cell a=3.757 b=3.757 c=3.757 alpha=90.00 beta=90.00 gamma=90.00
Element x y z (fractional)
C: 0.000 0.000 0.000
As: 0.500 0.500 0.500
Fe: 0.000 0.500 0.000
Fe: 0.000 0.000 0.500
Fe: 0.500 0.000 0.000

=====

# 2
# FeAs3C

An optimized crystal structure of FeAs3C (PBE-GGA, Alexandria).

## Properties
Calculated volume ... 89.3 Å³/cell
Energy relative to the elements ... 1.54 eV/atom
Polymorph energy (0 for the lowest one) ... 208 meV/atom
Crystal system ... cubic
Symmetry ... No. 221

Unit cell a=4.469 b=4.469 c=4.469 alpha=90.00 beta=90.00 gamma=90.00
Element x y z (fractional)
C: 0.500 0.500 0.500
As: 0.000 0.500 0.000
As: 0.000 0.000 0.500
As: 0.500 0.000 0.000
Fe: 0.000 0.000 0.000

=====

# 3
# FeAs2IrC

An optimized crystal structure of FeAs2IrC (PBE-GGA, Alexandria).

## Properties
Calculated volume ... 74.8 Å³/cell
Energy relative to the elements ... 0.93 eV/atom
Crystal system ... tetragonal
Symmetry ... No. 123

Unit cell a=4.646 b=3.465 c=4.646 alpha=90.00 beta=90.00 gamma=90.00
Element x y z (fractional)
C: 0.000 0.500 0.000
As: 0.000 0.000 0.500
As: 0.500 0.000 0.000
Ir: 0.500 0.500 0.500
Fe: 0.000 0.000 0.000

=====

# 4
# La2FeAsC

An optimized crystal structure of La2FeAsC (PBE-GGA, Alexandria).

## Properties
Calculated volume ... 106.0 Å³/cell
Energy relative to the elements ... -0.52 eV/atom
Crystal system ... tetragonal
Symmetry ... No. 123

Unit cell a=5.305 b=5.305 c=3.766 alpha=90.00 beta=90.00 gamma=90.00
Element x y z (fractional)
C: 0.000 0.000 0.000
As: 0.500 0.500 0.500
Fe: 0.000 0.000 0.500
La: 0.000 0.500 0.000
La: 0.500 0.000 0.000